# 1
! Al5Co4Rh PBE optimized geometry; values from VASP
! Total energy = -6.143 eV/atom
! Calculated formation energy = -0.695 eV/atom
! ρ = 6.54 g/cm3
! Symmetry = P4/mmm (123)
&SYSTEM
  ibrav = 0, nat = 10, ntyp = 3
/
ATOMIC_SPECIES
Al 26.98 Al.upf
Co 58.93 Co.upf
Rh 102.91 Rh.upf
CELL_PARAMETERS angstrom
-2.3018 1.6618 0.5482
-0.9330 -1.9319 1.9386
7.3576 6.7907 10.3083
ATOMIC_POSITIONS crystal
Al 0.5000 0.5000 0.1090
Al 0.5000 0.5000 0.3042
Al 0.5000 0.5000 0.5000
Al 0.5000 0.5000 0.6958
Al 0.5000 0.5000 0.8910
Co 0.0000 0.0000 0.2057
Co 0.0000 0.0000 0.4019
Co 0.0000 0.0000 0.5981
Co 0.0000 0.0000 0.7943
Rh 0.0000 0.0000 0.0000



# 2
! AlCoRh PBE optimized geometry; values from VASP
! Total energy = -6.199 eV/atom
! Calculated formation energy = -0.132 eV/atom
! ρ = 7.03 g/cm3
! Symmetry = F-43m (216)
! Excess energy over the best structure of this formula in the dataset = 319 meV per atom
&SYSTEM
  ibrav = 0, nat = 3, ntyp = 3
/
ATOMIC_SPECIES
Co 58.93 Co.upf
Rh 102.91 Rh.upf
Al 26.98 Al.upf
CELL_PARAMETERS angstrom
-0.9038 -2.4886 -2.9723
-2.0340 -3.3388 0.7485
-3.7710 -0.3503 -1.2255
ATOMIC_POSITIONS crystal
Co 0.7500 0.7500 0.7500
Rh 0.0000 0.0000 0.0000
Al 0.5000 0.5000 0.5000



# 3
! AlCoRh2 PBE optimized geometry; values from VASP
! Total energy = -6.274 eV/atom
! Calculated formation energy = 0.114 eV/atom
! ρ = 8.18 g/cm3
! Symmetry = I-42d (122)
&SYSTEM
  ibrav = 0, nat = 8, ntyp = 3
/
ATOMIC_SPECIES
Co 58.93 Co.upf
Rh 102.91 Rh.upf
Al 26.98 Al.upf
CELL_PARAMETERS angstrom
-0.7524 -1.2882 3.4283
0.2683 -3.5099 -1.2599
8.0322 -2.4161 2.8938
ATOMIC_POSITIONS crystal
Co 0.0000 0.0000 0.0000
Co 0.7500 0.2500 0.5000
Rh 0.6332 0.1250 0.2500
Rh 0.1168 0.6250 0.2500
Rh 0.3750 0.3668 0.7500
Rh 0.8750 0.8832 0.7500
Al 0.5000 0.5000 0.0000
Al 0.2500 0.7500 0.5000



# 4
! Al2CoSbRh PBE optimized geometry; values from VASP
! Total energy = -4.998 eV/atom
! ρ = 6.19 g/cm3
! Formation energy (no corrections) = 1.08 eV per formula unit
! Symmetry = P4/mmm (123)
&SYSTEM
  ibrav = 0, nat = 5, ntyp = 4
/
ATOMIC_SPECIES
Sb 121.76 Sb.upf
Rh 102.91 Rh.upf
Al 26.98 Al.upf
Co 58.93 Co.upf
CELL_PARAMETERS angstrom
4.4146 0.0000 0.0000
0.0000 4.6431 0.0000
0.0000 0.0000 4.4146
ATOMIC_POSITIONS crystal
Sb 0.0000 0.5000 0.0000
Rh 0.5000 0.5000 0.5000
Al 0.0000 0.0000 0.5000
Al 0.5000 0.0000 0.0000
Co 0.0000 0.0000 0.0000



# 5
! ScAlCoRh PBE optimized geometry; values from VASP
! Total energy = -6.916 eV/atom
! Calculated formation energy = -0.783 eV/atom
! ρ = 6.80 g/cm3
! Symmetry = F-43m (216)
&SYSTEM
  ibrav = 0, nat = 4, ntyp = 4
/
ATOMIC_SPECIES
Sc 44.96 Sc.upf
Co 58.93 Co.upf
Rh 102.91 Rh.upf
Al 26.98 Al.upf
CELL_PARAMETERS angstrom
4.3227 0.0000 0.0000
2.1614 3.7436 0.0000
2.1614 1.2479 3.5295
ATOMIC_POSITIONS crystal
Sc 0.7500 0.7500 0.7500
Co 0.5000 0.5000 0.5000
Rh 0.0000 0.0000 0.0000
Al 0.2500 0.2500 0.2500



# 6
! AlCoSiRh PBE optimized geometry; values from VASP
! Total energy = -6.552 eV/atom
! ρ = 7.32 g/cm3
! Formation energy (no corrections) = -2.58 eV per formula unit
! Symmetry = F-43m (216)
&SYSTEM
  ibrav = 0, nat = 4, ntyp = 4
/
ATOMIC_SPECIES
Co 58.93 Co.upf
Si 28.09 Si.upf
Rh 102.91 Rh.upf
Al 26.98 Al.upf
CELL_PARAMETERS angstrom
4.1135 0.0000 0.0000
2.0568 3.5624 0.0000
2.0568 1.1875 3.3587
ATOMIC_POSITIONS crystal
Co 0.2500 0.2500 0.2500
Si 0.5000 0.5000 0.5000
Rh 0.7500 0.7500 0.7500
Al 0.0000 0.0000 0.0000



# 7
! AlCoSnRh PBE optimized geometry; values from VASP
! Total energy = -5.942 eV/atom
! Calculated formation energy = -0.391 eV/atom
! ρ = 8.70 g/cm3
! Symmetry = F-43m (216)
&SYSTEM
  ibrav = 0, nat = 4, ntyp = 4
/
ATOMIC_SPECIES
Co 58.93 Co.upf
Rh 102.91 Rh.upf
Sn 118.71 Sn.upf
Al 26.98 Al.upf
CELL_PARAMETERS angstrom
-0.1671 2.4433 3.6098
-1.0140 -1.8303 3.8275
3.0555 -0.4485 3.0807
ATOMIC_POSITIONS crystal
Co 0.0000 0.0000 0.0000
Rh 0.5000 0.5000 0.5000
Sn 0.2500 0.2500 0.2500
Al 0.7500 0.7500 0.7500



# 8
! Ta2Al5Co2Rh PBE optimized geometry; values from VASP
! Total energy = -6.838 eV/atom
! Calculated formation energy = -0.440 eV/atom
! ρ = 8.26 g/cm3
! Symmetry = P4/mbm (127)
&SYSTEM
  ibrav = 0, nat = 20, ntyp = 4
/
ATOMIC_SPECIES
Ta 180.95 Ta.upf
Al 26.98 Al.upf
Co 58.93 Co.upf
Rh 102.91 Rh.upf
CELL_PARAMETERS angstrom
3.8105 0.0000 0.0000
0.0000 8.7018 0.0000
0.0000 0.0000 8.7018
ATOMIC_POSITIONS crystal
Ta 0.0000 0.6762 0.1762
Ta 0.0000 0.3238 0.8238
Ta 0.0000 0.1762 0.3238
Ta 0.0000 0.8238 0.6762
Al 0.5000 0.2054 0.0658
Al 0.5000 0.7946 0.9342
Al 0.5000 0.0658 0.7946
Al 0.5000 0.7054 0.4342
Al 0.5000 0.9342 0.2054
Al 0.5000 0.2946 0.5658
Al 0.5000 0.5658 0.7054
Al 0.5000 0.4342 0.2946
Al 0.5000 0.5000 0.0000
Al 0.5000 0.0000 0.5000
Co 0.0000 0.1187 0.6187
Co 0.0000 0.8813 0.3813
Co 0.0000 0.6187 0.8813
Co 0.0000 0.3813 0.1187
Rh 0.0000 0.0000 0.0000
Rh 0.0000 0.5000 0.5000



# 9
! U3Al3CoRh2 PBE optimized geometry; values from VASP
! Total energy = -7.912 eV/atom
! Calculated formation energy = -0.479 eV/atom
! ρ = 10.91 g/cm3
! Symmetry = P-6 (174)
&SYSTEM
  ibrav = 0, nat = 9, ntyp = 4
/
ATOMIC_SPECIES
U 238.03 U.upf
Al 26.98 Al.upf
Co 58.93 Co.upf
Rh 102.91 Rh.upf
CELL_PARAMETERS angstrom
-1.7197 5.0156 4.1181
-3.9388 -1.5701 -5.2051
-2.0800 -2.6657 2.3781
ATOMIC_POSITIONS crystal
U 0.6839 0.9111 0.5000
U 0.2272 0.3161 0.5000
U 0.0889 0.7728 0.5000
Al 0.6685 0.5710 0.0000
Al 0.9025 0.3315 0.0000
Al 0.4290 0.0975 0.0000
Co 0.0000 0.0000 0.0000
Rh 0.3333 0.6667 0.0000
Rh 0.6667 0.3333 0.5000



# 10
! Al2VCoRh PBE optimized geometry; values from VASP
! Total energy = -5.310 eV/atom
! Calculated formation energy = 0.902 eV/atom
! ρ = 5.21 g/cm3
! Symmetry = P4/mmm (123)
&SYSTEM
  ibrav = 0, nat = 5, ntyp = 4
/
ATOMIC_SPECIES
Co 58.93 Co.upf
Rh 102.91 Rh.upf
Al 26.98 Al.upf
V 50.94 V.upf
CELL_PARAMETERS angstrom
-3.3339 1.3290 -2.9044
0.5508 -3.3155 -2.1493
-3.1297 -2.1971 2.5872
ATOMIC_POSITIONS crystal
Co 0.0000 0.5000 0.0000
Rh 0.5000 0.5000 0.5000
Al 0.0000 0.0000 0.5000
Al 0.5000 0.0000 0.0000
V 0.0000 0.0000 0.0000



# 11
! YAlCoRh2 PBE optimized geometry; values from VASP
! Total energy = -5.703 eV/atom
! Calculated formation energy = 0.700 eV/atom
! ρ = 6.28 g/cm3
! Symmetry = P4/mmm (123)
&SYSTEM
  ibrav = 0, nat = 5, ntyp = 4
/
ATOMIC_SPECIES
Y 88.91 Y.upf
Co 58.93 Co.upf
Rh 102.91 Rh.upf
Al 26.98 Al.upf
CELL_PARAMETERS angstrom
-3.2612 -1.6582 2.4547
3.0032 0.3378 4.2181
-1.5077 4.0717 0.7474
ATOMIC_POSITIONS crystal
Y 0.0000 0.5000 0.0000
Co 0.5000 0.5000 0.5000
Rh 0.0000 0.0000 0.5000
Rh 0.5000 0.0000 0.0000
Al 0.0000 0.0000 0.0000



# 12
! AlZnCoRh PBE optimized geometry; values from VASP
! Total energy = -5.385 eV/atom
! Calculated formation energy = -0.517 eV/atom
! ρ = 8.26 g/cm3
! Symmetry = F-43m (216)
&SYSTEM
  ibrav = 0, nat = 4, ntyp = 4
/
ATOMIC_SPECIES
Co 58.93 Co.upf
Zn 65.41 Zn.upf
Rh 102.91 Rh.upf
Al 26.98 Al.upf
CELL_PARAMETERS angstrom
4.1657 0.0000 0.0000
2.0829 3.6076 0.0000
2.0829 1.2025 3.4013
ATOMIC_POSITIONS crystal
Co 0.7500 0.7500 0.7500
Zn 0.0000 0.0000 0.0000
Rh 0.2500 0.2500 0.2500
Al 0.5000 0.5000 0.5000



# 13
! ZrAlCoRh PBE optimized geometry; values from VASP
! Total energy = -7.395 eV/atom
! Calculated formation energy = -0.708 eV/atom
! ρ = 7.69 g/cm3
! Symmetry = F-43m (216)
&SYSTEM
  ibrav = 0, nat = 4, ntyp = 4
/
ATOMIC_SPECIES
Co 58.93 Co.upf
Rh 102.91 Rh.upf
Al 26.98 Al.upf
Zr 91.22 Zr.upf
CELL_PARAMETERS angstrom
-1.3253 3.3279 -2.5635
-3.1708 -0.6491 -2.9878
-3.9831 1.7851 0.5922
ATOMIC_POSITIONS crystal
Co 0.5000 0.5000 0.5000
Rh 0.0000 0.0000 0.0000
Al 0.2500 0.2500 0.2500
Zr 0.7500 0.7500 0.7500



# 14
! Al2CoRu PBE optimized geometry; values from VASP
! Total energy = -6.177 eV/atom
! Calculated formation energy = -0.211 eV/atom
! ρ = 6.67 g/cm3
! Symmetry = F-43m (216)
! Excess energy over the best structure of this formula in the dataset = 441 meV per atom
&SYSTEM
  ibrav = 0, nat = 4, ntyp = 3
/
ATOMIC_SPECIES
Ru 101.07 Ru.upf
Co 58.93 Co.upf
Al 26.98 Al.upf
CELL_PARAMETERS angstrom
-3.8670 -1.2172 1.1822
-2.3307 -2.4122 -2.5654
-0.7321 -4.0398 0.9881
ATOMIC_POSITIONS crystal
Ru 0.7500 0.7500 0.7500
Co 0.5000 0.5000 0.5000
Al 0.0000 0.0000 0.0000
Al 0.2500 0.2500 0.2500